No. 1
Compound: TlHgPd2
Source: Alexandria via LeMat-Bulk
Functional: GGA-PBE
Structure: relaxed

abc: 5.879 6.170 17.930
angles: 90.00 90.00 90.00
Fractional positions:
Hg: 0.750 0.404 0.470
Hg: 0.250 0.096 0.470
Hg: 0.750 0.904 0.030
Hg: 0.250 0.596 0.030
Hg: 0.250 0.096 0.970
Hg: 0.750 0.404 0.970
Hg: 0.250 0.596 0.530
Hg: 0.750 0.904 0.530
Tl: 0.750 0.396 0.716
Tl: 0.250 0.604 0.284
Tl: 0.250 0.104 0.716
Tl: 0.250 0.604 0.784
Tl: 0.750 0.896 0.284
Tl: 0.750 0.396 0.216
Tl: 0.250 0.104 0.216
Tl: 0.750 0.896 0.784
Pd: 0.500 0.750 0.656
Pd: 0.500 0.750 0.156
Pd: 0.000 0.750 0.656
Pd: 0.000 0.750 0.406
Pd: 0.000 0.250 0.594
Pd: 0.500 0.250 0.844
Pd: 0.000 0.250 0.844
Pd: 0.000 0.250 0.344
Pd: 0.000 0.250 0.094
Pd: 0.500 0.750 0.406
Pd: 0.500 0.250 0.094
Pd: 0.000 0.750 0.156
Pd: 0.500 0.250 0.594
Pd: 0.000 0.750 0.906
Pd: 0.500 0.250 0.344
Pd: 0.500 0.750 0.906

Properties
Energy relative to the elements in eV per atom: -0.09
Symmetry: Pbcm
E in eV per atom: -3.36

No. 2
Compound: CeMgInIr
Source: Alexandria via LeMat-Bulk
Functional: GGA-PBE
Structure: relaxed

abc: 4.945 4.945 4.945
angles: 60.00 60.00 60.00
Fractional positions:
In: 0.500 0.500 0.500
Mg: 0.250 0.250 0.250
Ir: 0.000 0.000 0.000
Ce: 0.750 0.750 0.750

Properties
Energy relative to the elements in eV per atom: -0.32
Symmetry: F-43m
E in eV per atom: -5.10

No. 3
Compound: MnInW2
Source: Alexandria via LeMat-Bulk
Functional: GGA-PBE
Structure: relaxed

abc: 4.526 4.526 4.526
angles: 60.00 60.00 60.00
Last column: magnetic moment on the atom in μB.
Fractional positions:
W: 0.750 0.750 0.750  0.20
W: 0.000 0.000 0.000  -0.30
Mn: 0.250 0.250 0.250  2.69
In: 0.500 0.500 0.500  -0.03

Properties
Energy relative to the elements in eV per atom: 0.47
Symmetry: F-43m
E in eV per atom: -8.98

No. 4
Compound: Al4CrCo5
Source: Alexandria via LeMat-Bulk
Functional: GGA-PBE
Structure: relaxed

abc: 2.845 2.845 14.382
angles: 90.00 90.00 90.00
Last column: magnetic moment on the atom in μB.
Fractional positions:
Al: 0.000 0.000 0.400  0.01
Al: 0.000 0.000 0.600  0.01
Al: 0.000 0.000 0.801  0.01
Al: 0.000 0.000 0.199  0.01
Co: 0.500 0.500 0.700  -0.18
Co: 0.500 0.500 0.097  -0.83
Co: 0.500 0.500 0.903  -0.83
Co: 0.500 0.500 0.300  -0.18
Co: 0.500 0.500 0.500  -0.14
Cr: 0.000 0.000 0.000  -1.52

Properties
Energy relative to the elements in eV per atom: -0.45
Symmetry: P4/mmm
E in eV per atom: -6.46

No. 5
Compound: BeTlCu2
Source: Alexandria via LeMat-Bulk
Functional: GGA-PBE
Structure: relaxed

abc: 4.700 4.700 4.700
angles: 131.50 131.50 71.02
Fractional positions:
Cu: 0.500 0.500 0.000
Cu: 0.000 0.000 0.000
Tl: 0.250 0.750 0.500
Be: 0.750 0.250 0.500

Properties
Energy relative to the elements in eV per atom: 0.39
Symmetry: I4/mmm
E in eV per atom: -3.18

No. 6
Compound: YPa3Se6
Source: Alexandria via LeMat-Bulk
Functional: GGA-PBE
Structure: relaxed

abc: 6.947 7.805 9.540
angles: 90.00 89.27 90.00
Last column: magnetic moment on the atom in μB.
Fractional positions:
Se: 0.155 0.329 0.431  -0.03
Se: 0.346 0.825 0.431  -0.03
Se: 0.797 0.919 0.251  -0.03
Se: 0.345 0.829 0.069  -0.03
Se: 0.654 0.175 0.569  -0.03
Se: 0.203 0.081 0.749  -0.03
Se: 0.297 0.581 0.751  -0.03
Se: 0.846 0.675 0.931  -0.03
Se: 0.703 0.419 0.249  -0.03
Se: 0.154 0.325 0.069  -0.03
Se: 0.845 0.671 0.569  -0.03
Se: 0.655 0.171 0.931  -0.03
Y: 0.500 0.500 0.500  0.06
Y: 0.000 0.000 0.000  0.06
Pa: 0.546 0.875 0.750  1.20
Pa: 0.046 0.625 0.250  1.20
Pa: 0.454 0.125 0.250  1.20
Pa: 0.954 0.375 0.750  1.20
Pa: 0.000 0.000 0.500  1.08
Pa: 0.500 0.500 0.000  1.08

Properties
Symmetry: P2_1/c
E in eV per atom: -6.91

no.,size of the total moment (μB/cell)
1,0.0
2,0.0
3,2.6
4,3.6
5,0.0
6,8.2